# Tb2Sm4Mg (GGA-PBE, relaxed)
data_Tb2Sm4Mg
_chemical_formula_sum 'Tb2 Sm4 Mg1'
_symmetry_space_group_name_H-M 'P 1 2/m 1'
_symmetry_Int_Tables_number 10
_cell_length_a 5.9698
_cell_length_b 3.6643
_cell_length_c 10.9216
_cell_angle_alpha 90.00
_cell_angle_beta 99.67
_cell_angle_gamma 90.00
loop_
_symmetry_equiv_pos_as_xyz
'x,y,z'
'-x,-y,-z'
'-x,y,-z'
'x,-y,z'
loop_
_atom_site_label
_atom_site_type_symbol
_atom_site_fract_x
_atom_site_fract_y
_atom_site_fract_z
Tb1 Tb 0.0000 0.0000 0.0000
Tb2 Tb 0.5000 0.5000 0.0000
Sm1 Sm 0.0499 0.5000 0.7030
Sm2 Sm 0.4325 0.0000 0.2515
Mg1 Mg 0.5000 0.5000 0.5000
# Relative energy among the computed polymorphs   0.24 eV/f.u.
# Formation enthalpy at 0 K   0.89 eV per formula unit

=====

# SiMoW4 (GGA-PBE, relaxed)
data_SiMoW4
_chemical_formula_sum 'Si4 Mo4 W16'
_symmetry_space_group_name_H-M 'F -4 3 m'
_symmetry_Int_Tables_number 216
_symmetry_space_group_name_Hall 'F -4 2 3'
_cell_length_a 7.3942
_cell_length_b 7.3942
_cell_length_c 7.3942
_cell_angle_alpha 90.00
_cell_angle_beta 90.00
_cell_angle_gamma 90.00
loop_
_atom_site_label
_atom_site_type_symbol
_atom_site_fract_x
_atom_site_fract_y
_atom_site_fract_z
Si1 Si 0.0000 0.0000 0.0000
Mo1 Mo 0.2500 0.2500 0.2500
W1 W 0.1252 0.1252 0.6252
# E_form (uncorrected)   573 meV/atom

=====

# LaNi2PbI (GGA-PBE, relaxed)
data_LaNi2PbI
_chemical_formula_sum 'La1 Ni2 Pb1 I1'
_symmetry_space_group_name_H-M 'P 4/m m m'
_symmetry_Int_Tables_number 123
_symmetry_space_group_name_Hall '-P 4 2'
_cell_length_a 4.7556
_cell_length_b 4.7556
_cell_length_c 6.0390
_cell_angle_alpha 90.00
_cell_angle_beta 90.00
_cell_angle_gamma 90.00
loop_
_atom_site_label
_atom_site_type_symbol
_atom_site_fract_x
_atom_site_fract_y
_atom_site_fract_z
La1 La 0.0000 0.0000 0.0000
Ni1 Ni 0.0000 0.5000 0.5000
Pb1 Pb 0.5000 0.5000 0.0000
I1 I 0.0000 0.0000 0.5000
# E_form (uncorrected)   366 meV/atom

=====

# Na2LaYCd (GGA-PBE, relaxed)
data_Na2LaYCd
_chemical_formula_sum 'Na2 La1 Y1 Cd1'
_symmetry_space_group_name_H-M 'P 4/m m m'
_symmetry_Int_Tables_number 123
_symmetry_space_group_name_Hall '-P 4 2'
_cell_length_a 5.5015
_cell_length_b 5.5015
_cell_length_c 5.9942
_cell_angle_alpha 90.00
_cell_angle_beta 90.00
_cell_angle_gamma 90.00
loop_
_atom_site_label
_atom_site_type_symbol
_atom_site_fract_x
_atom_site_fract_y
_atom_site_fract_z
Na1 Na 0.0000 0.5000 0.0000
La1 La 0.0000 0.0000 0.5000
Y1 Y 0.5000 0.5000 0.5000
Cd1 Cd 0.5000 0.5000 0.0000
# Formation enthalpy at 0 K   1.95 eV per formula unit

=====

Calculated values (μB per formula unit) of size of the total moment for the records, taken in order: 0.00, 0.00, 0.00, 0.92.